PBE BeBiIr2N, optimized geometry; calculated density = 9.51 Mg/m³; space-group type = P4/mmm, No. 123; Fermi-level density of states = 3.17 states/eV/cell; calculated total energy = -4.294 eV/atom; calculated volume = 21.5 Å³ per atom
1.0
5.033 0.000 0.000
0.000 5.033 0.000
0.000 0.000 4.252
Be Bi Ir N
1 1 2 1
Cartesian
0.000 0.000 0.000
2.516 2.516 2.126
0.000 2.516 2.126
2.516 0.000 2.126
2.516 2.516 0.000